[1]
Entry from the Alexandria database: a geometry-optimized K4CrPb structure (PBE-GGA).

Calculated values
Its total magnetization is 0.8986 μB/atom. As for the volume: 252.4 Å³/f.u. Its formation energy from the elements is 0.637 eV per atom.

a = 10.032 Å, b = 10.032 Å, c = 10.032 Å
α = 90.00°, β = 90.00°, γ = 90.00°
Space group F-43m (No. 216)
Symmetry-distinct sites (fractional):
1 K 0.125 0.125 0.125 (multiplicity 16)
2 Cr 0.000 0.000 0.500 (multiplicity 4)
3 Pb 0.250 0.250 0.750 (multiplicity 4)


[2]
Entry from the Alexandria database: a geometry-optimized LaSbSe structure (PBE-GGA).

Calculated values
Its total magnetization is 0.0000 μB/atom. As for the volume: 85.4 Å³/f.u. The calculation puts the formation energy from raw total energies at -1509 meV per atom.

a = 4.274 Å, b = 18.595 Å, c = 4.300 Å
α = 90.00°, β = 90.00°, γ = 90.00°
Space group Imm2 (No. 44)
Symmetry-distinct sites (fractional):
1 La 0.000 0.150 0.000 (multiplicity 4)
2 Sb 0.000 0.000 0.492 (multiplicity 2)
3 Sb 0.000 0.500 0.531 (multiplicity 2)
4 Se 0.000 0.315 0.001 (multiplicity 4)


- The lowest total magnetization belongs to which entry?
  LaSbSe


- Which of these has the lowest total magnetization?
  LaSbSe


- Which formula does entry 1 have?
  K4CrPb